1.
The following is a GGA-PBE calculation of a relaxed structure of Sm6Co2NiI3, from the Alexandria database.

Cell: 7.003 7.003 8.345 Å, 98.04 98.04 119.99°
Element x y z (fractional)
Sm1 0.099 0.440 0.819
Sm2 0.220 0.220 0.181
Sm3 0.440 0.099 0.819
Sm4 0.560 0.901 0.181
Sm5 0.780 0.780 0.819
Sm6 0.901 0.560 0.181
Co1 0.167 0.833 0.000
Co2 0.833 0.167 0.000
Ni1 0.500 0.500 0.000
I1 0.000 0.000 0.500
I2 0.333 0.667 0.500
I3 0.667 0.333 0.500

Output
- space group = C2/m, No. 12
- uncorrected formation energy (eV per atom) = -0.62

=====

2.
The following is a GGA-PBE calculation of a relaxed structure of Sm6CoNi2I3, from the Alexandria database.

Cell: 7.046 7.046 8.333 Å, 98.10 98.10 120.00°
Element x y z (fractional)
Sm1 0.061 0.387 0.181
Sm2 0.265 0.265 0.818
Sm3 0.387 0.061 0.181
Sm4 0.613 0.939 0.819
Sm5 0.735 0.735 0.182
Sm6 0.939 0.613 0.819
Co1 0.000 0.000 0.000
Ni1 0.333 0.667 0.000
Ni2 0.667 0.333 0.000
I1 0.167 0.833 0.500
I2 0.500 0.500 0.500
I3 0.833 0.167 0.500

Output
- space group = C2/m, No. 12
- uncorrected formation energy (eV per atom) = -0.65

=====

3.
The following is a GGA-PBE calculation of a relaxed structure of Sm8Co3NiI4, from the Alexandria database.

Cell: 8.071 8.071 9.266 Å, 115.78 115.78 60.14°
Element x y z (fractional)
Sm1 0.221 0.730 0.681
Sm2 0.227 0.227 0.682
Sm3 0.270 0.270 0.319
Sm4 0.270 0.779 0.319
Sm5 0.730 0.221 0.681
Sm6 0.730 0.730 0.681
Sm7 0.773 0.773 0.318
Sm8 0.779 0.270 0.319
Co1 0.000 0.000 0.500
Co2 0.000 0.500 0.500
Co3 0.500 0.000 0.500
Ni1 0.500 0.500 0.500
I1 0.000 0.000 0.000
I2 0.000 0.500 0.000
I3 0.500 0.000 0.000
I4 0.500 0.500 0.000

Output
- space group = C2/m, No. 12
- uncorrected formation energy (eV per atom) = -0.61

=====

4.
The following is a GGA-PBE calculation of a relaxed structure of Sm8CoNi3I4, from the Alexandria database.

Cell: 9.275 9.275 9.275 Å, 52.12 52.12 52.12°
Element x y z (fractional)
Sm1 0.227 0.227 0.227
Sm2 0.233 0.724 0.724
Sm3 0.276 0.276 0.767
Sm4 0.276 0.767 0.276
Sm5 0.724 0.233 0.724
Sm6 0.724 0.724 0.233
Sm7 0.767 0.276 0.276
Sm8 0.773 0.773 0.773
Co1 0.500 0.500 0.500
Ni1 0.000 0.000 0.500
Ni2 0.000 0.500 0.000
Ni3 0.500 0.000 0.000
I1 0.000 0.000 0.000
I2 0.000 0.500 0.500
I3 0.500 0.000 0.500
I4 0.500 0.500 0.000

Output
- space group = R-3m, No. 166
- uncorrected formation energy (eV per atom) = -0.65

=====

5.
The following is a GGA-PBE calculation of a relaxed structure of CoNiSnI2, from the Alexandria database.

Cell: 6.169 6.169 4.849 Å, 90.00 90.00 90.00°
Element x y z (fractional)
Co1 0.000 0.000 0.000
Ni1 0.500 0.500 0.000
Sn1 0.500 0.500 0.500
I1 0.000 0.500 0.500
I2 0.500 0.000 0.500

Output
- space group = P4/mmm, No. 123
- uncorrected formation energy (eV per atom) = 1.13
- energy above the lowest structure with this stoichiometry (meV per atom) = 479

=====

6.
The following is a GGA-PBE calculation of a relaxed structure of CoNiSnI2, from the Alexandria database.

Cell: 5.279 5.279 4.533 Å, 90.00 90.00 90.00°
Element x y z (fractional)
Co1 0.000 0.000 0.000
Ni1 0.000 0.000 0.500
Sn1 0.500 0.500 0.000
I1 0.000 0.500 0.500
I2 0.500 0.000 0.500

Output
- space group = P4/mmm, No. 123
- uncorrected formation energy (eV per atom) = 0.65
- energy above the lowest structure with this stoichiometry (meV per atom) = 0

=====

7.
The following is a GGA-PBE calculation of a relaxed structure of Tl2CoNiI, from the Alexandria database.

Cell: 6.533 6.533 4.593 Å, 90.00 90.00 90.00°
Element x y z (fractional)
Tl1 0.000 0.500 0.000
Tl2 0.500 0.000 0.000
Co1 0.000 0.000 0.500
Ni1 0.500 0.500 0.500
I1 0.500 0.500 0.000

Output
- space group = P4/mmm, No. 123
- uncorrected formation energy (eV per atom) = 1.12

=====

8.
The following is a GGA-PBE calculation of a relaxed structure of NpCoI6, from the Alexandria database.

Cell: 7.968 7.968 6.833 Å, 101.68 101.68 108.31°
Element x y z (fractional)
Np1 0.000 0.000 0.000
Co1 0.000 0.000 0.500
I1 0.023 0.718 0.219
I2 0.258 0.258 0.404
I3 0.282 0.977 0.781
I4 0.718 0.023 0.219
I5 0.742 0.742 0.596
I6 0.977 0.282 0.781

Output
- space group = C2/m, No. 12
- uncorrected formation energy (eV per atom) = -0.48

=====

In order of appearance, DOS at the Fermi energy = 6.0 7.0 6.2 11.8 22.4 5.1 19.0 7.9 states/eV/f.u..